# 1
The following is a DFT calculation (PBE) of a relaxed structure of NaSnPO2.

**ΔE_f (raw)**: -420 meV per atom
**Crystal system**: tetragonal
**Distance to the lowest polymorph of the same formula**: 0 meV/atom
**Space-group type**: No. 123

Cell lengths 4.144, 4.144, 5.224 Å; angles 90.00, 90.00, 90.00 degrees
Element x y z (fractional)
Na1 0.000 0.000 0.000
Sn1 0.500 0.500 0.500
P1 0.500 0.500 0.000
O1 0.000 0.500 0.500
O2 0.500 0.000 0.500

# 2
The following is a DFT calculation (PBE) of a relaxed structure of CaCdGaPt.

**Crystal system**: tetragonal
**Calculated formation energy**: -2.18 eV/f.u.
**Space-group type**: No. 129

Cell lengths 4.251, 4.251, 10.188 Å; angles 90.00, 90.00, 90.00 degrees
Element x y z (fractional)
Ca1 0.250 0.250 0.241
Ca2 0.750 0.750 0.759
Cd1 0.250 0.750 0.500
Cd2 0.750 0.250 0.500
Ga1 0.250 0.750 0.000
Ga2 0.750 0.250 0.000
Pt1 0.250 0.250 0.860
Pt2 0.750 0.750 0.140

# 3
The following is a DFT calculation (PBE) of a relaxed structure of KCdPt2.

**Crystal system**: orthorhombic
**Calculated formation energy**: 0.41 eV/f.u.
**Distance to the lowest polymorph of the same formula**: 316 meV/atom
**Space-group type**: No. 65

Cell lengths 5.351, 5.351, 2.917 Å; angles 90.00, 90.00, 110.85 degrees
Element x y z (fractional)
K1 0.000 0.000 0.000
Cd1 0.500 0.500 0.000
Pt1 0.000 0.500 0.500
Pt2 0.500 0.000 0.500

# 4
The following is a DFT calculation (PBE) of a relaxed structure of KSnPCl2.

**ΔE_f (raw)**: 178 meV per atom
**Crystal system**: tetragonal
**Distance to the lowest polymorph of the same formula**: 773 meV/atom
**Space-group type**: No. 123

Cell lengths 5.473, 5.473, 5.877 Å; angles 90.00, 90.00, 90.00 degrees
Element x y z (fractional)
K1 0.000 0.000 0.000
Sn1 0.500 0.500 0.500
P1 0.000 0.000 0.500
Cl1 0.000 0.500 0.000
Cl2 0.500 0.000 0.000

# 5
The following is a DFT calculation (PBE) of a relaxed structure of Hf2InCoP.

**Crystal system**: tetragonal
**Calculated formation energy**: 2.70 eV/f.u.
**Space-group type**: No. 123

Cell lengths 4.762, 4.762, 4.820 Å; angles 90.00, 90.00, 90.00 degrees
Element x y z (fractional)
Hf1 0.000 0.500 0.000
Hf2 0.500 0.000 0.000
In1 0.000 0.000 0.500
Co1 0.500 0.500 0.500
P1 0.000 0.000 0.000

# 6
The following is a DFT calculation (PBE) of a relaxed structure of NaLa2ZrN.

**ΔE_f (raw)**: 27 meV per atom
**Crystal system**: tetragonal
**Space-group type**: No. 123

Cell lengths 5.086, 5.086, 5.014 Å; angles 90.00, 90.00, 90.00 degrees
Element x y z (fractional)
Na1 0.000 0.000 0.000
La1 0.000 0.500 0.500
La2 0.500 0.000 0.500
Zr1 0.500 0.500 0.000
N1 0.000 0.000 0.500

# 7
The following is a DFT calculation (PBE) of a relaxed structure of Rb3Na2As4.

**Crystal system**: triclinic
**Calculated formation energy**: -3.31 eV/f.u.
**Space-group type**: No. 2

Cell lengths 5.323, 6.787, 9.761 Å; angles 99.00, 96.99, 109.85 degrees
Element x y z (fractional)
Rb1 0.000 0.000 0.000
Rb2 0.366 0.771 0.596
Rb3 0.634 0.229 0.404
Na1 0.232 0.633 0.189
Na2 0.768 0.367 0.811
As1 0.187 0.249 0.697
As2 0.376 0.555 0.904
As3 0.624 0.445 0.096
As4 0.813 0.751 0.303

# 8
The following is a DFT calculation (PBE) of a relaxed structure of Rb2YSiO4.

**ΔE_f (raw)**: -2179 meV per atom
**Crystal system**: orthorhombic
**Space-group type**: No. 70

Cell lengths 13.567, 12.294, 6.991 Å; angles 84.67, 64.46, 30.87 degrees
Element x y z (fractional)
Rb1 0.056 0.056 0.694
Rb2 0.306 0.306 0.944
Rb3 0.694 0.694 0.056
Rb4 0.944 0.944 0.306
Y1 0.125 0.125 0.125
Y2 0.875 0.875 0.875
Si1 0.375 0.375 0.375
Si2 0.625 0.625 0.625
O1 0.076 0.602 0.521
O2 0.301 0.521 0.602
O3 0.398 0.924 0.699
O4 0.479 0.699 0.924
O5 0.521 0.301 0.076
O6 0.602 0.076 0.301
O7 0.699 0.479 0.398
O8 0.924 0.398 0.479